1.
LiBiHRh: optimized geometry, PBE-GGA.

Cell lengths 3.908, 3.908, 7.588 Å; angles 90.00, 90.00, 90.00 degrees
Fractional positions:
Rh 0.000 0.500 0.229
Rh 0.500 0.000 0.771
Li 0.000 0.000 0.500
Li 0.500 0.500 0.500
Bi 0.500 0.000 0.147
Bi 0.000 0.500 0.853
H 0.500 0.000 0.546
H 0.000 0.500 0.454

Properties
As for the space group: P4/nmm. The value obtained for the total moment is 0.00 μB per cell.

***

2.
Y3TlAg: optimized geometry, PBE-GGA.

Cell lengths 5.160, 5.161, 10.668 Å; angles 90.00, 76.01, 90.00 degrees
Last column: magnetic moment on the atom in μB.
Fractional positions:
Y 0.887 0.750 0.875  0.06
Y 0.074 0.750 0.500  0.00
Y 0.762 0.250 0.125  0.06
Y 0.387 0.250 0.875  0.07
Y 0.574 0.250 0.500  0.00
Y 0.262 0.750 0.125  0.07
Tl 0.981 0.250 0.686  0.00
Tl 0.667 0.750 0.314  0.00
Ag 0.483 0.750 0.683  0.00
Ag 0.166 0.250 0.317  0.00

Properties
For the energy above the lowest structure with this stoichiometry, the calculation gives 0.000 eV/f.u. The value obtained for the calculated formation energy is -0.27 eV/atom. As for the space group: Cmcm. The value obtained for the total moment is 0.53 μB per cell.

***

3.
Dy3ZnOs: optimized geometry, PBE-GGA.

Cell lengths 5.736, 5.736, 8.510 Å; angles 102.01, 102.01, 112.49 degrees
Fractional positions:
Zn 0.693 0.193 0.500
Zn 0.307 0.807 0.500
Dy 0.709 0.580 0.288
Dy 0.697 0.197 0.895
Dy 0.303 0.803 0.105
Dy 0.291 0.420 0.712
Dy 0.080 0.209 0.288
Dy 0.920 0.791 0.712
Os 0.250 0.250 0.000
Os 0.750 0.750 0.000

Properties
The value obtained for the calculated formation energy is -0.29 eV/atom. As for the space group: Fmmm. The value obtained for the total moment is 0.00 μB per cell.

***

4.
PmDyInOs: optimized geometry, PBE-GGA.

Cell lengths 5.110, 5.110, 5.110 Å; angles 60.00, 60.00, 60.00 degrees
Fractional positions:
In 0.000 0.000 0.000
Dy 0.250 0.250 0.250
Pm 0.750 0.750 0.750
Os 0.500 0.500 0.500

Properties
The value obtained for the calculated formation energy is -0.17 eV/atom. As for the space group: F-43m. The value obtained for the total moment is 0.00 μB per cell.

***

5.
MgAg3Au: optimized geometry, PBE-GGA.

Cell lengths 5.143, 5.143, 5.143 Å; angles 90.00, 90.00, 90.00 degrees
Fractional positions:
Mg 0.500 0.500 0.500
Au 0.000 0.000 0.000
Ag 0.000 0.000 0.500
Ag 0.000 0.500 0.000
Ag 0.500 0.000 0.000

Properties
For the energy above the lowest structure with this stoichiometry, the calculation gives 3.612 eV/f.u. The value obtained for the calculated formation energy is 0.51 eV/atom. As for the space group: Pm-3m. The value obtained for the total moment is 0.00 μB per cell.

***

6.
CsTi: optimized geometry, PBE-GGA.

Cell lengths 11.329, 11.329, 11.329 Å; angles 90.00, 90.00, 90.00 degrees
Last column: magnetic moment on the atom in μB.
Fractional positions:
Ti 0.922 0.922 0.078  0.81
Ti 0.422 0.422 0.578  0.81
Ti 0.078 0.078 0.078  0.81
Ti 0.578 0.578 0.578  0.81
Ti 0.078 0.922 0.922  0.81
Ti 0.422 0.578 0.422  0.81
Ti 0.578 0.422 0.422  0.81
Ti 0.922 0.078 0.922  0.81
Cs 0.287 0.287 0.287  0.00
Cs 0.213 0.787 0.213  0.00
Cs 0.787 0.787 0.787  0.00
Cs 0.787 0.213 0.213  0.00
Cs 0.287 0.713 0.713  0.00
Cs 0.713 0.713 0.287  0.00
Cs 0.713 0.287 0.713  0.00
Cs 0.213 0.213 0.787  0.00

Properties
For the energy above the lowest structure with this stoichiometry, the calculation gives 0.452 eV/f.u. The value obtained for the calculated formation energy is 1.08 eV/atom. As for the space group: I-43m. The value obtained for the total moment is 7.81 μB per cell.

***

7.
CdBi: optimized geometry, PBE-GGA.

Cell lengths 3.457, 8.814, 7.707 Å; angles 90.00, 90.00, 90.00 degrees
Fractional positions:
Cd 0.000 0.277 0.750
Cd 0.000 0.723 0.250
Cd 0.500 0.777 0.750
Cd 0.500 0.223 0.250
Bi 0.000 0.000 0.500
Bi 0.000 0.000 0.000
Bi 0.500 0.500 0.500
Bi 0.500 0.500 0.000

Properties
The value obtained for the calculated formation energy is 0.07 eV/atom. As for the space group: Cmcm. The value obtained for the total moment is 0.00 μB per cell.

***

8.
Ca2NiPd: optimized geometry, PBE-GGA.

Cell lengths 7.561, 7.561, 6.172 Å; angles 52.23, 52.23, 90.00 degrees
Fractional positions:
Ca 0.375 0.388 0.750
Ca 0.612 0.125 0.250
Ca 0.875 0.862 0.750
Ca 0.138 0.625 0.250
Pd 0.000 0.000 0.000
Pd 0.750 0.250 0.500
Ni 0.500 0.500 0.000
Ni 0.250 0.750 0.500

Properties
The value obtained for the calculated formation energy is -0.05 eV/atom. As for the space group: I-42d. The value obtained for the total moment is 0.00 μB per cell.

***

9.
LaReBr: optimized geometry, PBE-GGA.

Cell lengths 4.636, 4.636, 3.534 Å; angles 90.00, 90.00, 120.00 degrees
Fractional positions:
La 0.667 0.333 0.333
Re 0.333 0.667 0.833
Br 0.000 0.000 0.833

Properties
For the energy above the lowest structure with this stoichiometry, the calculation gives 0.000 eV/f.u. As for the space group: P-6m2. The value obtained for the total moment is 0.02 μB per cell.

***

10.
Sr2UTlSe6: optimized geometry, PBE-GGA.

Cell lengths 7.246, 7.962, 10.471 Å; angles 90.00, 87.44, 90.00 degrees
Fractional positions:
Se 0.804 0.827 0.558
Se 0.859 0.550 0.240
Se 0.359 0.950 0.740
Se 0.658 0.292 0.573
Se 0.158 0.208 0.073
Se 0.141 0.450 0.760
Se 0.696 0.327 0.942
Se 0.304 0.673 0.058
Se 0.196 0.173 0.442
Se 0.842 0.792 0.927
Se 0.641 0.050 0.260
Se 0.342 0.708 0.427
Sr 0.540 0.597 0.758
Sr 0.960 0.097 0.742
Sr 0.040 0.903 0.258
Sr 0.460 0.403 0.242
Tl 0.500 0.000 0.000
Tl 0.000 0.500 0.500
U 0.000 0.500 0.000
U 0.500 0.000 0.500

Properties
As for the space group: P2_1/c. The value obtained for the total moment is 0.00 μB per cell.

***

11.
TiAlGaPd: optimized geometry, PBE-GGA.

Cell lengths 4.452, 4.452, 4.452 Å; angles 60.00, 60.00, 60.00 degrees
Fractional positions:
Al 0.750 0.750 0.750
Ga 0.500 0.500 0.500
Pd 0.000 0.000 0.000
Ti 0.250 0.250 0.250

Properties
For the energy above the lowest structure with this stoichiometry, the calculation gives 0.018 eV/f.u. The value obtained for the calculated formation energy is -0.46 eV/atom. As for the space group: F-43m. The value obtained for the total moment is 0.00 μB per cell.

***

12.
Ac3LaPb2: optimized geometry, PBE-GGA.

Cell lengths 4.979, 4.979, 9.337 Å; angles 90.00, 90.00, 90.00 degrees
Fractional positions:
Ac 0.500 0.000 0.352
Ac 0.000 0.000 0.000
Ac 0.000 0.500 0.648
La 0.500 0.500 0.000
Pb 0.500 0.000 0.724
Pb 0.000 0.500 0.276

Properties
For the energy above the lowest structure with this stoichiometry, the calculation gives 0.000 eV/f.u. The value obtained for the calculated formation energy is -0.42 eV/atom. As for the space group: P-4m2. The value obtained for the total moment is 0.00 μB per cell.

***

13.
KRe2Sb: optimized geometry, PBE-GGA.

Cell lengths 5.293, 5.293, 6.247 Å; angles 81.03, 81.03, 39.15 degrees
Fractional positions:
K 0.250 0.250 0.250
Re 0.014 0.014 0.867
Re 0.486 0.486 0.633
Sb 0.750 0.750 0.750

Properties
As for the space group: C2/m. The value obtained for the total moment is 0.00 μB per cell.

***

14.
Nd4HgSb3: optimized geometry, PBE-GGA.

Cell lengths 7.767, 7.868, 9.052 Å; angles 90.00, 90.00, 109.78 degrees
Fractional positions:
Sb 0.750 0.000 0.375
Sb 0.250 0.500 0.877
Sb 0.250 0.000 0.625
Sb 0.250 0.500 0.377
Sb 0.750 0.500 0.623
Sb 0.750 0.500 0.123
Nd 0.506 0.252 0.380
Nd 0.998 0.264 0.134
Nd 0.498 0.264 0.866
Nd 0.006 0.252 0.620
Nd 0.494 0.748 0.620
Nd 0.994 0.748 0.380
Nd 0.002 0.736 0.866
Nd 0.502 0.736 0.134
Hg 0.750 0.000 0.884
Hg 0.250 0.000 0.116

Properties
As for the space group: P2/c. The value obtained for the total moment is 0.00 μB per cell.

***

15.
CaYSiAu: optimized geometry, PBE-GGA.

Cell lengths 5.073, 5.073, 5.073 Å; angles 60.00, 60.00, 60.00 degrees
Fractional positions:
Y 0.000 0.000 0.000
Ca 0.500 0.500 0.500
Si 0.750 0.750 0.750
Au 0.250 0.250 0.250

Properties
As for the space group: F-43m. The value obtained for the total moment is 0.00 μB per cell.

***

16.
Ba2UTe5: optimized geometry, PBE-GGA.

Cell lengths 8.252, 8.252, 7.483 Å; angles 123.46, 123.46, 90.00 degrees
Last column: magnetic moment on the atom in μB.
Fractional positions:
Ba 0.262 0.762 0.523  0.00
Ba 0.762 0.262 0.523  0.00
Te 0.757 0.757 0.012  -0.01
Te 0.717 0.717 0.435  -0.01
Te 0.255 0.255 0.012  -0.01
Te 0.255 0.757 0.012  -0.01
Te 0.757 0.255 0.012  -0.01
U 0.013 0.013 0.027  0.12

Properties
For the energy above the lowest structure with this stoichiometry, the calculation gives 1.253 eV/f.u. As for the space group: I4mm. The value obtained for the total moment is 0.06 μB per cell.

***

17.
La4PrSn: optimized geometry, PBE-GGA.

Cell lengths 6.318, 7.078, 8.907 Å; angles 90.00, 89.04, 90.00 degrees
Fractional positions:
La 0.659 0.992 0.342
La 0.341 0.492 0.658
La 0.527 0.250 0.980
La 0.000 0.500 0.000
La 0.659 0.508 0.342
La 0.473 0.750 0.020
La 0.341 0.008 0.658
La 0.000 0.000 0.000
Sn 0.156 0.750 0.342
Sn 0.844 0.250 0.658
Pr 0.158 0.250 0.333
Pr 0.842 0.750 0.667

Properties
For the energy above the lowest structure with this stoichiometry, the calculation gives 0.020 eV/f.u. The value obtained for the calculated formation energy is -0.27 eV/atom. As for the space group: P2_1/m. The value obtained for the total moment is 0.00 μB per cell.

***

18.
SiNiHN: optimized geometry, PBE-GGA.

Cell lengths 3.848, 2.814, 3.961 Å; angles 90.00, 117.60, 90.00 degrees
Fractional positions:
Ni 0.157 0.500 0.883
H 0.505 0.000 0.030
Si 0.589 0.000 0.661
N 0.301 0.500 0.433

Properties
For the energy above the lowest structure with this stoichiometry, the calculation gives 1.299 eV/f.u. As for the space group: Pm. The value obtained for the total moment is 0.00 μB per cell.

***

19.
SrPa2SbO8: optimized geometry, PBE-GGA.

Cell lengths 5.133, 5.139, 7.191 Å; angles 90.00, 90.00, 88.48 degrees
Fractional positions:
O 0.330 0.329 0.500
O 0.202 0.797 0.218
O 0.670 0.671 0.500
O 0.798 0.203 0.218
O 0.202 0.797 0.782
O 0.692 0.693 0.000
O 0.798 0.203 0.782
O 0.308 0.307 0.000
Pa 0.500 0.500 0.248
Pa 0.500 0.500 0.752
Sb 0.000 0.000 0.000
Sr 0.000 0.000 0.500

Properties
As for the space group: Cmmm. The value obtained for the total moment is 0.00 μB per cell.

***

20.
Pm2AlTe: optimized geometry, PBE-GGA.

Cell lengths 4.306, 4.556, 12.241 Å; angles 100.73, 90.00, 90.00 degrees
Fractional positions:
Te 0.250 0.194 0.387
Te 0.750 0.806 0.613
Pm 0.250 0.063 0.126
Pm 0.250 0.328 0.656
Pm 0.750 0.672 0.344
Pm 0.750 0.937 0.874
Al 0.250 0.464 0.928
Al 0.750 0.536 0.072

Properties
For the energy above the lowest structure with this stoichiometry, the calculation gives 0.000 eV/f.u. As for the space group: Cmcm. The value obtained for the total moment is 0.00 μB per cell.

***

21.
Sc5Ni4Pd: optimized geometry, PBE-GGA.

Cell lengths 3.167, 3.167, 16.343 Å; angles 90.00, 90.00, 90.00 degrees
Fractional positions:
Sc 0.500 0.500 0.108
Sc 0.500 0.500 0.696
Sc 0.500 0.500 0.304
Sc 0.500 0.500 0.892
Sc 0.500 0.500 0.500
Ni 0.000 0.000 0.205
Ni 0.000 0.000 0.402
Ni 0.000 0.000 0.598
Ni 0.000 0.000 0.795
Pd 0.000 0.000 0.000

Properties
The value obtained for the calculated formation energy is -0.58 eV/atom. As for the space group: P4/mmm. The value obtained for the total moment is 0.00 μB per cell.

***

22.
MnSb2Au: optimized geometry, PBE-GGA.

Cell lengths 4.136, 3.935, 5.676 Å; angles 69.12, 90.00, 90.00 degrees
Last column: magnetic moment on the atom in μB.
Fractional positions:
Mn 0.500 0.545 0.803  3.63
Au 0.000 0.703 0.452  0.01
Sb 0.500 0.262 0.334  -0.04
Sb 0.000 0.990 0.911  -0.06

Properties
For the energy above the lowest structure with this stoichiometry, the calculation gives 0.000 eV/f.u. As for the space group: Pm. The value obtained for the total moment is 3.67 μB per cell.

***

23.
CaTb2Ce: optimized geometry, PBE-GGA.

Cell lengths 3.605, 3.605, 10.198 Å; angles 90.00, 90.00, 90.00 degrees
Fractional positions:
Ca 0.500 0.500 0.500
Tb 0.000 0.000 0.224
Tb 0.000 0.000 0.776
Ce 0.500 0.500 0.000

Properties
For the energy above the lowest structure with this stoichiometry, the calculation gives 0.022 eV/f.u. The value obtained for the calculated formation energy is 0.09 eV/atom. As for the space group: P4/mmm. The value obtained for the total moment is 0.01 μB per cell.

***

24.
Ho3Mg2Hg6: optimized geometry, PBE-GGA.

Cell lengths 5.056, 5.056, 12.932 Å; angles 101.27, 101.27, 90.00 degrees
Fractional positions:
Hg 0.431 0.931 0.861
Hg 0.069 0.569 0.139
Hg 0.735 0.735 0.469
Hg 0.931 0.431 0.861
Hg 0.569 0.069 0.139
Hg 0.265 0.265 0.531
Mg 0.621 0.621 0.241
Mg 0.379 0.379 0.759
Ho 0.857 0.857 0.714
Ho 0.000 0.000 0.000
Ho 0.143 0.143 0.286

Properties
The value obtained for the calculated formation energy is -0.12 eV/atom. As for the space group: I4/mmm. The value obtained for the total moment is 0.00 μB per cell.

***

no.,raw total energy (eV per atom)
1,-4.443
2,-5.192
3,-5.556
4,-6.004
5,-2.177
6,-3.297
7,-2.326
8,-3.797
9,-5.991
10,-5.011
11,-5.422
12,-4.528
13,-6.602
14,-4.930
15,-4.952
16,-4.815
17,-5.020
18,-5.747
19,-8.257
20,-5.023
21,-6.574
22,-5.143
23,-4.208
24,-1.826